Density functional theory data (PBE) for a geometry-optimized Tm3Tl structure.

It has space group Pmm2 (No. 25), with a = 3.466 Å, b = 5.446 Å, c = 6.008 Å, α = 90.00°, β = 90.00° and γ = 90.00°. The asymmetric unit holds Tm at (0.000, 0.000, 0.000), Tm at (0.000, 0.500, 0.334), Tm at (0.500, 0.000, 0.501) and Tl at (0.500, 0.500, 0.816).

Its crystal system is orthorhombic. The energy of formation from the pure elements comes out at -0.33 eV per formula unit. The mass density comes out at 10.41 g/cm³. For the total magnetization, the calculation gives 0.0 μB/f.u.